[1]
Below is an optimized crystal structure of Zr2Al2P, with properties calculated at the PBE level.

Properties
DFT formation energy	11.51	kcal/mol of atoms
D(E_F)	1.107	states/eV per atom
excess energy over the best structure of this formula in the dataset	1055	meV per atom
crystal system	tetragonal
uncorrected energy	-5.4991	eV per atom

extended XYZ file:
```
5
Lattice="-1.966 1.966 6.886 1.966 -1.966 6.886 1.966 1.966 -6.886" Properties=species:S:1:pos:R:3 pbc="T T T"
Zr 1.966 0.000 3.443
Zr 0.000 1.966 3.443
Al 0.000 0.000 8.118
Al 0.000 0.000 5.655
P 0.000 0.000 0.000
```

***

[2]
Below is an optimized crystal structure of ZrAlP2, with properties calculated at the PBE level.

Properties
DFT formation energy	-11.06	kcal/mol of atoms
D(E_F)	1.163	states/eV per atom
crystal system	tetragonal
uncorrected energy	-6.2572	eV per atom

extended XYZ file:
```
8
Lattice="5.925 0.000 0.000 0.000 5.925 0.000 2.962 2.962 5.240" Properties=species:S:1:pos:R:3 pbc="T T T"
P 4.285 1.481 1.310
P 1.640 4.444 1.310
P 4.444 4.603 3.930
P 7.406 7.247 3.930
Al 2.962 2.962 0.000
Al 2.962 5.925 2.620
Zr 0.000 0.000 0.000
Zr 5.925 2.962 2.620
```